This record from Alexandria describes a relaxed K2NaAl4 crystal. The functional is GGA-PBE.

Properties
E ... -1.849 eV/atom
Formation energy ... 0.79 eV/atom

Cell: 5.340 5.340 17.841 Å, 90.00 90.00 90.00°
Space group I4/mmm (No. 139)
Asymmetric unit:
K (0.000, 0.000, 0.146)
Na (0.000, 0.000, 0.500)
Al (0.000, 0.000, 0.349)
Al (0.000, 0.500, 0.000)